Computed, not measured: a relaxed structure of ZrAlSi2 at the PBE level of DFT.

a b c (Å): 4.7644 4.7644 7.2725
angles (deg): 90.00 90.00 120.00
Last column: nearest neighbours and their distance in Å.
Element x y z (fractional)
Zr 0.0000 0.0000 0.7500  3 Al 2.75, 6 Si 3.00
Si 0.3333 0.6667 0.9143  1 Si 2.39, 1 Al 2.44
Si 0.6667 0.3333 0.0857  1 Si 2.39, 1 Al 2.44
Al 0.6667 0.3333 0.7500  2 Si 2.44
Al 0.3333 0.6667 0.2500  2 Si 2.44
Si 0.3333 0.6667 0.5857  1 Si 2.39, 1 Al 2.44
Si 0.6667 0.3333 0.4143  1 Si 2.39, 1 Al 2.44
Zr 0.0000 0.0000 0.2500  3 Al 2.75, 6 Si 3.00

## Properties
Uncorrected formation energy, eV per atom: 0.27